[1]
PBE Sm2Dy6Ho3Er, relaxed; spin magnetization = 0.0 μB per formula unit; E = -4.596 eV/atom; calculated formation energy = 0.02 eV per atom
1.0
3.072 -5.316 0.000
3.072 5.316 0.000
-2.035 0.000 11.582
Sm Dy Ho Er
2 6 3 1
direct
0.167 0.833 0.000
0.833 0.167 0.000
0.083 0.416 0.748
0.252 0.252 0.252
0.416 0.083 0.748
0.584 0.917 0.252
0.748 0.748 0.748
0.917 0.584 0.252
0.000 0.000 0.500
0.334 0.666 0.500
0.666 0.334 0.500
0.500 0.500 0.000

***

[2]
PBE SmDy6Ho2Er, relaxed; spin magnetization = 0.0 μB per formula unit; E = -4.485 eV/atom; calculated formation energy = 0.12 eV per atom
1.0
4.520 -7.493 0.000
4.520 7.493 0.000
-1.207 0.000 9.435
Sm Dy Ho Er
2 12 4 2
direct
0.024 0.976 0.750
0.976 0.024 0.250
0.017 0.567 0.684
0.123 0.751 0.056
0.249 0.877 0.444
0.291 0.507 0.881
0.433 0.983 0.816
0.493 0.709 0.619
0.507 0.291 0.381
0.567 0.017 0.184
0.709 0.493 0.119
0.751 0.123 0.556
0.877 0.249 0.944
0.983 0.433 0.316
0.199 0.304 0.545
0.304 0.199 0.045
0.696 0.801 0.955
0.801 0.696 0.455
0.409 0.591 0.250
0.591 0.409 0.750

***

[3]
PBE SmDy2HoEr5, relaxed; spin magnetization = 0.0 μB per formula unit; E = -4.295 eV/atom; calculated formation energy = 0.30 eV per atom
1.0
-4.434 4.434 7.286
4.434 -4.434 7.286
4.434 4.434 -7.286
Sm Dy Ho Er
2 4 2 10
direct
0.250 0.250 0.000
0.750 0.750 0.000
0.113 0.613 0.726
0.387 0.113 0.500
0.613 0.887 0.500
0.887 0.387 0.274
0.250 0.750 0.500
0.750 0.250 0.500
0.000 0.000 0.000
0.073 0.162 0.500
0.162 0.662 0.089
0.338 0.427 0.500
0.427 0.927 0.089
0.500 0.500 0.000
0.573 0.073 0.911
0.662 0.573 0.500
0.838 0.338 0.911
0.927 0.838 0.500